[1]
VASP calculation (PBE) on an optimized crystal structure of Y2TlCo.

Cell: 3.485 3.427 8.536 Å, 66.32 90.00 90.00°
Positions (direct):
Y1 0.000 0.959 0.041
Y2 0.000 0.541 0.459
Tl1 0.500 0.750 0.750
Co1 0.500 0.250 0.250

Results
The formation energy is -255 meV per atom. The uncorrected energy is -23.4 eV for the cell shown. Its density of states at the Fermi level is 2.5 states/eV/cell.

[2]
VASP calculation (PBE) on an optimized crystal structure of PaTlN2.

Cell: 3.615 3.615 7.127 Å, 75.31 75.31 60.00°
Positions (direct):
Pa1 0.667 0.667 0.999
Tl1 0.483 0.483 0.552
N1 0.057 0.057 0.829
N2 0.293 0.293 0.120

Results
The relative energy among the computed polymorphs is 0 meV/atom. The uncorrected energy is -32.2 eV for the cell shown. Its density of states at the Fermi level is 0.0 states/eV/cell.

[3]
VASP calculation (PBE) on an optimized crystal structure of CaIr2.

Cell: 3.630 3.630 4.910 Å, 90.00 90.00 90.00°
Positions (direct):
Ca1 0.000 0.000 0.000
Ir1 0.000 0.500 0.500
Ir2 0.500 0.000 0.500

Results
The formation energy is 66 meV per atom. The uncorrected energy is -19.5 eV for the cell shown. Its density of states at the Fermi level is 3.2 states/eV/cell.

[4]
VASP calculation (PBE) on an optimized crystal structure of Lu3PtC.

Cell: 4.672 4.672 4.672 Å, 90.00 90.00 90.00°
Positions (direct):
C1 0.000 0.000 0.000
Lu1 0.000 0.500 0.000
Lu2 0.000 0.000 0.500
Lu3 0.500 0.000 0.000
Pt1 0.500 0.500 0.500

Results
The formation energy is -618 meV per atom. The uncorrected energy is -31.9 eV for the cell shown. Its density of states at the Fermi level is 3.2 states/eV/cell.

Which value of uncorrected energy does entry 3 give?
-19.5 eV for the cell shown

Number 2 is which compound?
PaTlN2